(1)
Crystalline Cu5Pt7 at its relaxed geometry, computed with PBE.

## Properties
Energy above the lowest structure with this stoichiometry (eV/atom): 0.018

Unit cell a=4.6811 b=5.5020 c=6.6788 alpha=90.46 beta=90.36 gamma=90.06
Last column: nearest neighbours and their distance in Å.
Space group P1 (No. 1)
Inequivalent atoms, fractional coordinates:
Cu: 0.0000 0.0000 0.0000 [1 per cell]  8 Pt 2.69-2.75, 4 Cu 2.69-2.80
Cu: 0.0024 0.5097 0.9983 [1 per cell]  7 Pt 2.66-2.76, 5 Cu 2.69-2.80
Cu: 0.1682 0.7518 0.3355 [1 per cell]  8 Pt 2.68-2.78, 4 Cu 2.72-2.75
Cu: 0.3328 0.5063 0.6704 [1 per cell]  8 Pt 2.67-2.83, 4 Cu 2.69-2.73
Cu: 0.8341 0.7526 0.6695 [1 per cell]  7 Pt 2.65-2.81, 5 Cu 2.69-2.73
Pt: 0.1684 0.2565 0.3349 [1 per cell]  7 Pt 2.71-2.78, 5 Cu 2.72-2.78
Pt: 0.3269 0.9913 0.6710 [1 per cell]  6 Cu 2.65-2.83, 6 Pt 2.69-2.82
Pt: 0.4970 0.2562 0.9973 [1 per cell]  5 Cu 2.70-2.75, 7 Pt 2.70-2.80
Pt: 0.5006 0.7515 0.0002 [1 per cell]  7 Cu 2.68-2.73, 5 Pt 2.69-2.78
Pt: 0.6696 0.5074 0.3343 [1 per cell]  5 Cu 2.69-2.75, 7 Pt 2.71-2.80
Pt: 0.6742 0.9993 0.3357 [1 per cell]  4 Cu 2.68-2.73, 8 Pt 2.71-2.80
Pt: 0.8389 0.2629 0.6730 [1 per cell]  6 Cu 2.66-2.81, 6 Pt 2.70-2.82



(2)
Crystalline CuPt2 at its relaxed geometry, computed with PBE.

## Properties
Total energy (eV/atom): -5.495

Unit cell a=2.7620 b=2.7620 c=11.4132 alpha=90.00 beta=90.00 gamma=90.00
Last column: nearest neighbours and their distance in Å.
Space group I4/mmm (No. 139)
Inequivalent atoms, fractional coordinates:
Cu: 0.0000 0.0000 0.0000 [2 per cell]  8 Pt 2.67, 4 Cu 2.76
Pt: 0.0000 0.0000 0.3399 [4 per cell]  4 Cu 2.67, 8 Pt 2.76-2.83



(3)
Crystalline Cu7Pt3 at its relaxed geometry, computed with PBE.

## Properties
Energy above the lowest structure with this stoichiometry (eV/atom): 0.000

Unit cell a=13.4987 b=3.7905 c=5.2690 alpha=90.00 beta=102.73 gamma=90.00
Last column: nearest neighbours and their distance in Å.
Space group C2/m (No. 12)
Inequivalent atoms, fractional coordinates:
Cu: 0.0000 0.0000 0.0000 [2 per cell]  4 Pt 2.59-2.63, 8 Cu 2.65-2.66
Cu: 0.0993 0.5000 0.3045 [4 per cell]  8 Cu 2.61-2.65, 4 Pt 2.65-2.66
Cu: 0.0987 0.5000 0.8028 [4 per cell]  7 Cu 2.61-2.69, 5 Pt 2.64-2.70
Cu: 0.1997 0.0000 0.6005 [4 per cell]  5 Pt 2.59-2.68, 7 Cu 2.63-2.69
Pt: 0.0000 0.0000 0.5000 [2 per cell]  12 Cu 2.63-2.66
Pt: 0.1965 0.0000 0.1065 [4 per cell]  10 Cu 2.59-2.70, 2 Pt 2.77



(4)
Crystalline Cu3Pt5 at its relaxed geometry, computed with PBE.

## Properties
Energy above the lowest structure with this stoichiometry (eV/atom): 0.224

Unit cell a=7.3104 b=7.3104 c=5.1124 alpha=90.00 beta=90.00 gamma=120.00
Last column: nearest neighbours and their distance in Å.
Space group P6_3/mcm (No. 193)
Inequivalent atoms, fractional coordinates:
Cu: 0.0000 0.4110 0.2500 [6 per cell]  7 Pt 2.55-2.68
Pt: 0.0000 0.2223 0.7500 [6 per cell]  5 Cu 2.61-2.90, 2 Pt 2.81
Pt: 0.3333 0.6667 0.0000 [4 per cell]  6 Cu 2.55, 2 Pt 2.56



(5)
Crystalline CuPt4 at its relaxed geometry, computed with PBE.

## Properties
Energy above the lowest structure with this stoichiometry (eV/atom): 0.074

Unit cell a=3.9963 b=5.4567 c=14.1408 alpha=90.00 beta=90.00 gamma=90.00
Last column: nearest neighbours and their distance in Å.
Space group Imma (No. 74)
Inequivalent atoms, fractional coordinates:
Cu: 0.0000 0.2500 0.0996 [4 per cell]  11 Pt 2.73-2.80
Pt: 0.0000 0.0000 0.5000 [4 per cell]  8 Pt 2.69-2.78, 4 Cu 2.80
Pt: 0.0000 0.0025 0.3095 [8 per cell]  7 Pt 2.61-2.77, 2 Cu 2.73
Pt: 0.0000 0.2500 0.9034 [4 per cell]  3 Cu 2.73-2.77, 8 Pt 2.77-2.78



(6)
Crystalline CuPt2 at its relaxed geometry, computed with PBE.

## Properties
Total energy (eV/atom): -5.479

Unit cell a=5.5037 b=7.7407 c=16.5319 alpha=90.00 beta=90.00 gamma=90.00
Last column: nearest neighbours and their distance in Å.
Space group Fmmm (No. 69)
Inequivalent atoms, fractional coordinates:
Cu: 0.0000 0.0000 0.0793 [8 per cell]  5 Cu 2.62-2.71, 7 Pt 2.73-2.85
Cu: 0.2500 0.2500 0.0000 [8 per cell]  6 Pt 2.66-2.71, 6 Cu 2.71-2.75
Pt: 0.0000 0.0000 0.2516 [8 per cell]  11 Pt 2.75-2.81, 1 Cu 2.85
Pt: 0.0000 0.0000 0.4212 [8 per cell]  6 Pt 2.61-2.80, 6 Cu 2.71-2.75
Pt: 0.2500 0.2500 0.1607 [16 per cell]  3 Cu 2.66-2.73, 9 Pt 2.73-2.95



(7)
Crystalline Cu4Pt5 at its relaxed geometry, computed with PBE.

## Properties
Energy above the lowest structure with this stoichiometry (eV/atom): 0.000

Unit cell a=4.7219 b=4.7345 c=6.0284 alpha=75.25 beta=83.13 gamma=80.69
Last column: nearest neighbours and their distance in Å.
Space group P1 (No. 1)
Inequivalent atoms, fractional coordinates:
Cu: 0.0000 0.0000 0.0000 [1 per cell]  4 Cu 2.64-2.71, 8 Pt 2.69-2.80
Cu: 0.1090 0.5489 0.7870 [1 per cell]  6 Pt 2.64-2.77, 6 Cu 2.67-2.77
Cu: 0.2251 0.1109 0.5676 [1 per cell]  7 Pt 2.64-2.78, 5 Cu 2.65-2.76
Cu: 0.6742 0.3282 0.6774 [1 per cell]  5 Cu 2.64-2.77, 7 Pt 2.66-2.73
Pt: 0.3362 0.6583 0.3514 [1 per cell]  5 Cu 2.67-2.80, 7 Pt 2.71-2.79
Pt: 0.4465 0.2211 0.1105 [1 per cell]  5 Cu 2.66-2.78, 7 Pt 2.69-2.81
Pt: 0.5462 0.7804 0.8917 [1 per cell]  7 Cu 2.64-2.77, 5 Pt 2.66-2.78
Pt: 0.7879 0.8845 0.4627 [1 per cell]  6 Cu 2.64-2.80, 6 Pt 2.66-2.81
Pt: 0.8952 0.4395 0.2301 [1 per cell]  5 Cu 2.69-2.76, 7 Pt 2.72-2.78



(8)
Crystalline Cu4Pt3 at its relaxed geometry, computed with PBE.

## Properties
Energy above the lowest structure with this stoichiometry (eV/atom): 0.008

Unit cell a=2.7781 b=2.7781 c=24.6914 alpha=90.00 beta=90.00 gamma=90.00
Last column: nearest neighbours and their distance in Å.
Space group I4/mmm (No. 139)
Inequivalent atoms, fractional coordinates:
Cu: 0.0000 0.0000 0.0721 [4 per cell]  8 Cu 2.53-2.78, 4 Pt 2.65
Cu: 0.0000 0.0000 0.3636 [4 per cell]  8 Cu 2.53-2.78, 4 Pt 2.65
Pt: 0.0000 0.0000 0.2084 [4 per cell]  4 Cu 2.65, 8 Pt 2.78-2.84
Pt: 0.0000 0.0000 0.5000 [2 per cell]  8 Cu 2.65, 4 Pt 2.78



(9)
Crystalline Cu2Pt13 at its relaxed geometry, computed with PBE.

## Properties
Total energy (eV/atom): -5.719

Unit cell a=6.5463 b=6.7336 c=6.9504 alpha=117.29 beta=115.20 gamma=92.44
Last column: nearest neighbours and their distance in Å.
Space group P-1 (No. 2)
Inequivalent atoms, fractional coordinates:
Cu: 0.2001 0.1787 0.3270 [2 per cell]  9 Pt 2.60-2.82
Pt: 0.0000 0.0000 0.5000 [1 per cell]  10 Pt 2.67-2.88, 2 Cu 2.67
Pt: 0.0203 0.2777 0.9575 [2 per cell]  2 Cu 2.66-2.74, 8 Pt 2.68-2.94
Pt: 0.0795 0.4596 0.6856 [2 per cell]  9 Pt 2.66-2.97, 1 Cu 2.81
Pt: 0.2582 0.9327 0.9084 [2 per cell]  2 Cu 2.60-2.82, 6 Pt 2.74-2.88
Pt: 0.3544 0.8137 0.4736 [2 per cell]  1 Cu 2.63, 8 Pt 2.70-2.87
Pt: 0.4768 0.2664 0.8446 [2 per cell]  10 Pt 2.66-2.97
Pt: 0.4923 0.4093 0.2776 [2 per cell]  2 Cu 2.64-2.67, 8 Pt 2.66-2.82



(10)
Crystalline Cu3Pt5 at its relaxed geometry, computed with PBE.

## Properties
Energy above the lowest structure with this stoichiometry (eV/atom): 0.015

Unit cell a=4.7297 b=4.7336 c=5.4830 alpha=73.23 beta=89.98 gamma=80.41
Last column: nearest neighbours and their distance in Å.
Space group P1 (No. 1)
Inequivalent atoms, fractional coordinates:
Cu: 0.0000 0.0000 0.0000 [1 per cell]  9 Pt 2.69-2.79, 3 Cu 2.70-2.73
Cu: 0.2471 0.4970 0.8778 [1 per cell]  8 Pt 2.67-2.76, 4 Cu 2.71-2.75
Cu: 0.7525 0.4943 0.6307 [1 per cell]  9 Pt 2.67-2.81, 3 Cu 2.70-2.75
Pt: 0.2486 0.5001 0.3810 [1 per cell]  5 Cu 2.72-2.76, 7 Pt 2.72-2.80
Pt: 0.4975 0.9986 0.2494 [1 per cell]  8 Pt 2.71-2.77, 4 Cu 2.72-2.77
Pt: 0.4995 0.9952 0.7557 [1 per cell]  6 Pt 2.70-2.77, 6 Cu 2.72-2.74
Pt: 0.7555 0.4992 0.1166 [1 per cell]  6 Cu 2.67-2.81, 6 Pt 2.70-2.80
Pt: 0.9990 0.9959 0.5098 [1 per cell]  5 Cu 2.69-2.79, 7 Pt 2.72-2.79



Copy entry 6 word for word.
Crystalline CuPt2 at its relaxed geometry, computed with PBE.

## Properties
Total energy (eV/atom): -5.479

Unit cell a=5.5037 b=7.7407 c=16.5319 alpha=90.00 beta=90.00 gamma=90.00
Last column: nearest neighbours and their distance in Å.
Space group Fmmm (No. 69)
Inequivalent atoms, fractional coordinates:
Cu: 0.0000 0.0000 0.0793 [8 per cell]  5 Cu 2.62-2.71, 7 Pt 2.73-2.85
Cu: 0.2500 0.2500 0.0000 [8 per cell]  6 Pt 2.66-2.71, 6 Cu 2.71-2.75
Pt: 0.0000 0.0000 0.2516 [8 per cell]  11 Pt 2.75-2.81, 1 Cu 2.85
Pt: 0.0000 0.0000 0.4212 [8 per cell]  6 Pt 2.61-2.80, 6 Cu 2.71-2.75
Pt: 0.2500 0.2500 0.1607 [16 per cell]  3 Cu 2.66-2.73, 9 Pt 2.73-2.95